Record 1
# Cr2GaBSe (GGA-PBE, optimized geometry)
# Total moment, Bohr magnetons per cell: 7.7
# Raw total energy, eV/atom: -5.008
# Formation energy without anion corrections, meV/atom: 1479
data_Cr2GaBSe
_cell_length_a 4.708
_cell_length_b 4.708
_cell_length_c 5.154
_cell_angle_alpha 90.00
_cell_angle_beta 90.00
_cell_angle_gamma 90.00
_space_group_name_H-M_alt 'P 4/m m m'
_space_group_IT_number 123
_space_group_name_Hall '-P 4 2'
loop_
_atom_site_label
_atom_site_type_symbol
_atom_site_fract_x
_atom_site_fract_y
_atom_site_fract_z
_atom_site_occupancy
Cr1 Cr 0.000 0.500 0.000 1
Ga1 Ga 0.000 0.000 0.500 1
B1 B 0.500 0.500 0.500 1
Se1 Se 0.000 0.000 0.000 1

---

Record 2
# SrCrGa2B (GGA-PBE, optimized geometry)
# Total moment, Bohr magnetons per cell: 0.1
# Raw total energy, eV/atom: -4.275
# ΔH_f (0 K), eV per atom: 0.5325
data_SrCrGa2B
_cell_length_a 4.565
_cell_length_b 4.565
_cell_length_c 4.304
_cell_angle_alpha 90.00
_cell_angle_beta 90.00
_cell_angle_gamma 90.00
_space_group_name_H-M_alt 'P 4/m m m'
_space_group_IT_number 123
_space_group_name_Hall '-P 4 2'
loop_
_atom_site_label
_atom_site_type_symbol
_atom_site_fract_x
_atom_site_fract_y
_atom_site_fract_z
_atom_site_occupancy
Sr1 Sr 0.000 0.000 0.000 1
Cr1 Cr 0.500 0.500 0.000 1
Ga1 Ga 0.000 0.500 0.500 1
B1 B 0.500 0.500 0.500 1

---

Record 3
# TaCr2GaB (GGA-PBE, optimized geometry)
# Total moment, Bohr magnetons per cell: 6.0
# Raw total energy, eV/atom: -6.217
# ΔH_f (0 K), eV per atom: 1.9438
data_TaCr2GaB
_cell_length_a 4.406
_cell_length_b 4.406
_cell_length_c 4.815
_cell_angle_alpha 90.00
_cell_angle_beta 90.00
_cell_angle_gamma 90.00
_space_group_name_H-M_alt 'P 4/m m m'
_space_group_IT_number 123
_space_group_name_Hall '-P 4 2'
loop_
_atom_site_label
_atom_site_type_symbol
_atom_site_fract_x
_atom_site_fract_y
_atom_site_fract_z
_atom_site_occupancy
Ta1 Ta 0.000 0.000 0.000 1
Cr1 Cr 0.000 0.500 0.500 1
Ga1 Ga 0.000 0.000 0.500 1
B1 B 0.500 0.500 0.000 1

---

Record 4
# VCr2GaB (GGA-PBE, optimized geometry)
# Total moment, Bohr magnetons per cell: 2.9
# Raw total energy, eV/atom: -6.240
# ΔH_f (0 K), eV per atom: 1.3734
data_VCr2GaB
_cell_length_a 4.593
_cell_length_b 4.593
_cell_length_c 3.713
_cell_angle_alpha 90.00
_cell_angle_beta 90.00
_cell_angle_gamma 90.00
_space_group_name_H-M_alt 'P 4/m m m'
_space_group_IT_number 123
_space_group_name_Hall '-P 4 2'
loop_
_atom_site_label
_atom_site_type_symbol
_atom_site_fract_x
_atom_site_fract_y
_atom_site_fract_z
_atom_site_occupancy
V1 V 0.000 0.000 0.000 1
Cr1 Cr 0.000 0.500 0.500 1
Ga1 Ga 0.500 0.500 0.500 1
B1 B 0.500 0.500 0.000 1